## Dy4Ge8Os (GGA-PBE)

Data for a relaxed structure of Dy4Ge8Os.

The structure in CIF format:
```
data_Dy4Ge8Os
_symmetry_space_group_name_H-M 'P m m 2'
_symmetry_Int_Tables_number 25
_cell_length_a 4.0380
_cell_length_b 4.1849
_cell_length_c 16.0383
_cell_angle_alpha 90.00
_cell_angle_beta 90.00
_cell_angle_gamma 90.00
loop_
_symmetry_equiv_pos_as_xyz
'x,y,z'
'-x,-y,z'
'-x,y,z'
'x,-y,z'
loop_
_atom_site_label
_atom_site_fract_x
_atom_site_fract_y
_atom_site_fract_z
Dy1 0.0000 0.0000 0.0000
Dy2 0.0000 0.5000 0.4864
Dy3 0.5000 0.0000 0.7910
Dy4 0.5000 0.5000 0.2852
Ge1 0.0000 0.0000 0.3306
Ge2 0.0000 0.0000 0.6222
Ge3 0.0000 0.5000 0.1400
Ge4 0.0000 0.5000 0.8563
Ge5 0.5000 0.0000 0.1451
Ge6 0.5000 0.0000 0.4389
Ge7 0.5000 0.5000 0.6192
Ge8 0.5000 0.5000 0.9608
Os1 0.0000 0.5000 0.7047
```


## Al4In (GGA-PBE)

Data for a relaxed structure of Al4In.

The structure in CIF format:
```
data_Al4In
_symmetry_space_group_name_H-M 'I 4/m'
_symmetry_Int_Tables_number 87
_symmetry_space_group_name_Hall '-I 4'
_cell_length_a 6.6351
_cell_length_b 6.6351
_cell_length_c 4.2340
_cell_angle_alpha 90.00
_cell_angle_beta 90.00
_cell_angle_gamma 90.00
loop_
_atom_site_label
_atom_site_fract_x
_atom_site_fract_y
_atom_site_fract_z
Al1 0.0921 0.3068 0.0000
In1 0.0000 0.0000 0.5000
```

Summary:
polymorph energy (0 for the lowest one): 0.0 meV/atom


## H2RhSN (GGA-PBE)

Data for a relaxed structure of H2RhSN.

The structure in CIF format:
```
data_H2RhSN
_symmetry_space_group_name_H-M 'P 4/m m m'
_symmetry_Int_Tables_number 123
_symmetry_space_group_name_Hall '-P 4 2'
_cell_length_a 3.2792
_cell_length_b 3.2792
_cell_length_c 4.6473
_cell_angle_alpha 90.00
_cell_angle_beta 90.00
_cell_angle_gamma 90.00
loop_
_atom_site_label
_atom_site_fract_x
_atom_site_fract_y
_atom_site_fract_z
H1 0.0000 0.5000 0.0000
Rh1 0.0000 0.0000 0.0000
S1 0.0000 0.0000 0.5000
N1 0.5000 0.5000 0.5000
```


## LiLaCr2 (GGA-PBE)

Data for a relaxed structure of LiLaCr2.

The structure in CIF format:
```
data_LiLaCr2
_symmetry_space_group_name_H-M 'P 1 2/m 1'
_symmetry_Int_Tables_number 10
_cell_length_a 2.9777
_cell_length_b 4.7205
_cell_length_c 5.3776
_cell_angle_alpha 90.00
_cell_angle_beta 99.07
_cell_angle_gamma 90.00
loop_
_symmetry_equiv_pos_as_xyz
'x,y,z'
'-x,-y,-z'
'-x,y,-z'
'x,-y,z'
loop_
_atom_site_label
_atom_site_fract_x
_atom_site_fract_y
_atom_site_fract_z
Li1 0.0000 0.0000 0.0000
La1 0.5000 0.0000 0.5000
Cr1 0.1834 0.5000 0.8526
```

Summary:
polymorph energy (0 for the lowest one): 356.2 meV/atom


Number 1: E -73.6 eV/cell. Number 2: E -34.2 eV/cell. Number 3: E -22.0 eV/cell. Number 4: E -23.1 eV/cell.